# 1
# CsFeI2O | the Alexandria database | PBEsol | relaxed
data_CsFeI2O
_chemical_formula_sum 'Cs1 Fe1 I2 O1'
_symmetry_space_group_name_H-M 'P 4/m m m'
_symmetry_Int_Tables_number 123
_symmetry_space_group_name_Hall '-P 4 2'
_cell_length_a 6.6278
_cell_length_b 6.6278
_cell_length_c 4.2380
_cell_angle_alpha 90.00
_cell_angle_beta 90.00
_cell_angle_gamma 90.00
loop_
_atom_site_label
_atom_site_type_symbol
_atom_site_fract_x
_atom_site_fract_y
_atom_site_fract_z
_atom_site_occupancy
Cs1 Cs 0.0000 0.0000 0.0000 1
Fe1 Fe 0.5000 0.5000 0.5000 1
I1 I 0.0000 0.5000 0.0000 1
O1 O 0.0000 0.0000 0.5000 1
# - Raw formation energy: 891 meV/atom
# - D(E_F): 2.00 states/eV/atom

=====

# 2
# GaHPd3 | the Alexandria database | PBEsol | relaxed
data_GaHPd3
_chemical_formula_sum 'Ga1 H1 Pd3'
_symmetry_space_group_name_H-M 'P m -3 m'
_symmetry_Int_Tables_number 221
_symmetry_space_group_name_Hall '-P 4 2 3'
_cell_length_a 4.5532
_cell_length_b 4.5532
_cell_length_c 4.5532
_cell_angle_alpha 90.00
_cell_angle_beta 90.00
_cell_angle_gamma 90.00
loop_
_atom_site_label
_atom_site_type_symbol
_atom_site_fract_x
_atom_site_fract_y
_atom_site_fract_z
_atom_site_occupancy
Ga1 Ga 0.0000 0.0000 0.0000 1
H1 H 0.5000 0.5000 0.5000 1
Pd1 Pd 0.0000 0.0000 0.5000 1
# - D(E_F): 0.03 states/eV/atom
# - E: -0.147 hartree per atom

=====

# 3
# MnSi2Mo | the Alexandria database | PBEsol | relaxed
data_MnSi2Mo
_chemical_formula_sum 'Mn4 Si8 Mo4'
_symmetry_space_group_name_H-M 'F m -3 m'
_symmetry_Int_Tables_number 225
_symmetry_space_group_name_Hall '-F 4 2 3'
_cell_length_a 5.8724
_cell_length_b 5.8724
_cell_length_c 5.8724
_cell_angle_alpha 90.00
_cell_angle_beta 90.00
_cell_angle_gamma 90.00
loop_
_atom_site_label
_atom_site_type_symbol
_atom_site_fract_x
_atom_site_fract_y
_atom_site_fract_z
_atom_site_occupancy
Mn1 Mn 0.0000 0.0000 0.0000 1
Si1 Si 0.2500 0.2500 0.2500 1
Mo1 Mo 0.0000 0.0000 0.5000 1
# - Raw formation energy: -194 meV/atom
# - D(E_F): 0.76 states/eV/atom

=====

# 4
# AgTeRh2 | the Alexandria database | PBEsol | relaxed
data_AgTeRh2
_chemical_formula_sum 'Ag2 Te2 Rh4'
_symmetry_space_group_name_H-M 'C 1 m 1'
_symmetry_Int_Tables_number 8
_symmetry_space_group_name_Hall 'C -2y'
_cell_length_a 9.4875
_cell_length_b 3.2138
_cell_length_c 4.4885
_cell_angle_alpha 90.00
_cell_angle_beta 106.23
_cell_angle_gamma 90.00
loop_
_atom_site_label
_atom_site_type_symbol
_atom_site_fract_x
_atom_site_fract_y
_atom_site_fract_z
_atom_site_occupancy
Ag1 Ag 0.0000 0.0000 0.0000 1
Te1 Te 0.2451 0.0000 0.6251 1
Rh1 Rh 0.0163 0.5000 0.5102 1
Rh2 Rh 0.2470 0.5000 0.1601 1
# - Raw formation energy: 119 meV/atom
# - D(E_F): 0.97 states/eV/atom

=====

# 5
# CoNiIr2Os | the Alexandria database | PBEsol | relaxed
data_CoNiIr2Os
_chemical_formula_sum 'Co1 Ni1 Ir2 Os1'
_symmetry_space_group_name_H-M 'P 4/m m m'
_symmetry_Int_Tables_number 123
_symmetry_space_group_name_Hall '-P 4 2'
_cell_length_a 4.3720
_cell_length_b 4.3720
_cell_length_c 4.2555
_cell_angle_alpha 90.00
_cell_angle_beta 90.00
_cell_angle_gamma 90.00
loop_
_atom_site_label
_atom_site_type_symbol
_atom_site_fract_x
_atom_site_fract_y
_atom_site_fract_z
_atom_site_occupancy
Co1 Co 0.0000 0.0000 0.0000 1
Ni1 Ni 0.5000 0.5000 0.5000 1
Ir1 Ir 0.0000 0.5000 0.0000 1
Os1 Os 0.0000 0.0000 0.5000 1
# - Calculated formation energy: 1.914 eV per atom
# - D(E_F): 1.39 states/eV/atom

=====

# 6
# CsZrAs2Br | the Alexandria database | PBEsol | relaxed
data_CsZrAs2Br
_chemical_formula_sum 'Cs1 Zr1 As2 Br1'
_symmetry_space_group_name_H-M 'P 4/m m m'
_symmetry_Int_Tables_number 123
_symmetry_space_group_name_Hall '-P 4 2'
_cell_length_a 5.4040
_cell_length_b 5.4040
_cell_length_c 5.8538
_cell_angle_alpha 90.00
_cell_angle_beta 90.00
_cell_angle_gamma 90.00
loop_
_atom_site_label
_atom_site_type_symbol
_atom_site_fract_x
_atom_site_fract_y
_atom_site_fract_z
_atom_site_occupancy
Cs1 Cs 0.0000 0.0000 0.0000 1
Zr1 Zr 0.5000 0.5000 0.5000 1
As1 As 0.0000 0.5000 0.0000 1
Br1 Br 0.0000 0.0000 0.5000 1
# - Raw formation energy: 1417 meV/atom
# - D(E_F): 1.07 states/eV/atom